Here is crystalline ZrAlW at its relaxed geometry from Alexandria. Energies are from PBE-GGA.

It has space group R-3m (No. 166, hexagonal axes), with a = 5.3723 Å, b = 5.3723 Å, c = 39.7267 Å, α = 90.00°, β = 90.00° and γ = 120.00°. The distinct sites, in fractional coordinates, are Zr at (0.0000, 0.0000, 0.0418), Zr at (0.0000, 0.0000, 0.1778), Zr at (0.0000, 0.0000, 0.2653), Al at (0.0013, 0.5006, 0.7779), W at (0.0000, 0.0000, 0.3884), W at (0.0000, 0.0000, 0.5000) and W at (0.0000, 0.5000, 0.0000).

The crystal system is trigonal. The uncorrected energy is -0.6395 Ry per atom. The energy above the lowest structure with this stoichiometry comes out at 0 meV/atom. The volume comes out at 993 Å³/cell.